[1]
ZrNi2B PBE optimized geometry; ΔE_f = 37 meV per atom; Fermi-level density of states = 1.102 states/eV per atom
1.0
4.132 0.000 0.000
0.000 4.132 0.000
2.066 2.066 6.697
B Ni Zr
2 4 2
Direct
0.250 0.750 0.500
0.500 0.500 0.000
0.280 0.625 0.250
0.470 0.125 0.250
0.875 0.720 0.750
0.375 0.530 0.750
0.000 0.000 0.000
0.750 0.250 0.500

=====

[2]
ZrNiB2 PBE optimized geometry; ΔE_f = 184 meV per atom; Fermi-level density of states = 0.543 states/eV per atom; ΔE to the lowest computed polymorph = 908 meV/atom
1.0
0.000 2.807 2.807
2.807 0.000 2.807
2.807 2.807 0.000
B Ni Zr
2 1 1
Direct
0.750 0.750 0.750
0.250 0.250 0.250
0.000 0.000 0.000
0.500 0.500 0.500

=====

[3]
ZrNiB3 PBE optimized geometry; ΔE_f = 416 meV per atom; Fermi-level density of states = 0.388 states/eV per atom; ΔE to the lowest computed polymorph = 1008 meV/atom
1.0
-0.093 3.638 -1.044
-2.091 -0.920 -3.020
-3.155 0.503 2.031
Zr Ni B
1 1 3
Direct
0.500 0.500 0.500
0.000 0.000 0.000
0.000 0.000 0.500
0.000 0.500 0.000
0.500 0.000 0.000

=====

[4]
ZrNiB3 PBE optimized geometry; ΔE_f = -592 meV per atom; Fermi-level density of states = 0.462 states/eV per atom; ΔE to the lowest computed polymorph = 0 meV/atom
1.0
-1.001 0.575 -3.196
0.579 -2.985 -0.719
-7.990 -2.479 3.863
B Ni Zr
6 2 2
Direct
0.679 0.250 0.357
0.525 0.750 0.049
0.321 0.750 0.643
0.631 0.750 0.262
0.475 0.250 0.951
0.369 0.250 0.738
0.209 0.750 0.417
0.791 0.250 0.583
0.078 0.250 0.156
0.922 0.750 0.844

=====

[5]
Zr2NiB2 PBE optimized geometry; ΔE_f = -591 meV per atom; Fermi-level density of states = 0.635 states/eV per atom
1.0
6.168 0.000 0.000
0.000 6.168 0.000
0.000 0.000 3.436
Zr B Ni
4 4 2
Direct
0.683 0.817 0.500
0.183 0.683 0.500
0.817 0.317 0.500
0.317 0.183 0.500
0.899 0.601 0.000
0.399 0.899 0.000
0.601 0.101 0.000
0.101 0.399 0.000
0.500 0.500 0.000
0.000 0.000 0.000

=====

[6]
NpB5 PBE optimized geometry; ΔE_f = 767 meV per atom; Fermi-level density of states = 0.829 states/eV per atom
1.0
-1.695 2.244 -2.793
1.524 -1.476 -2.111
-4.291 -2.383 0.689
B Np
5 1
Direct
0.500 0.194 0.389
0.500 0.806 0.611
0.000 0.281 0.562
0.500 0.500 0.000
0.000 0.719 0.438
0.000 0.000 0.000

=====

| no. | E (eV for the cell shown) |
| --- | --- |
| 1 | -53.283 |
| 2 | -26.950 |
| 3 | -32.283 |
| 4 | -74.646 |
| 5 | -78.378 |
| 6 | -41.727 |